This record from the Alexandria database describes a relaxed ZrHg2Ir crystal. The functional is PBE.

```
4
Lattice="-2.221 2.221 3.931 2.221 -2.221 3.931 2.221 2.221 -3.931" Properties=species:S:1:pos:R:3 pbc="T T T"
Zr 0.000 0.000 0.000
Hg 2.221 0.000 1.966
Hg 0.000 0.000 3.931
Ir 0.000 2.221 1.966
```

Values from the calculation:
Total energy in eV per cell: -18.191
Space group: I-4m2
ΔE_f in kJ/mol of formula units: -17
Theoretical density in g cm⁻³: 14.7
Total moment in μB/cell: 0.0
E above lowest polymorph in eV/atom: 0.1424